a) Computed, not measured: a geometry-optimized AgTe2PdI structure at the PBE level of DFT.

Cell: 5.4342 5.4342 5.6154 Å, 90.00 90.00 90.00°
With the nearest neighbours (Å) after each atom.
Fractional positions:
Ag 0.0000 0.0000 0.0000  4 Te 2.72, 2 I 2.81
Te 0.0000 0.5000 0.0000  2 Ag 2.72
Te 0.5000 0.0000 0.0000  2 Ag 2.72
Pd 0.5000 0.5000 0.5000  4 I 3.84, 8 Te 3.91
I 0.0000 0.0000 0.5000  2 Ag 2.81

***

b) Computed, not measured: a geometry-optimized AgTe2PdI structure at the PBE level of DFT.

Cell: 5.3173 5.3173 5.5556 Å, 90.00 90.00 90.00°
With the nearest neighbours (Å) after each atom.
Fractional positions:
Ag 0.0000 0.0000 0.0000  4 I 3.76, 8 Te 3.85
Te 0.0000 0.5000 0.5000  2 Pd 2.66
Te 0.5000 0.0000 0.5000  2 Pd 2.66
Pd 0.5000 0.5000 0.5000  4 Te 2.66, 2 I 2.78
I 0.5000 0.5000 0.0000  2 Pd 2.78

***

b) is preferred energetically. Next in line: 411 meV/atom higher.

***

a) Computed, not measured: a geometry-optimized Pm2AgI structure at the PBE level of DFT.

Cell: 8.0426 8.0426 8.0426 Å, 31.35 31.35 31.35°
With the nearest neighbours (Å) after each atom.
Fractional positions:
Pm 0.2395 0.2395 0.2395  3 Ag 3.01, 3 I 3.30
Pm 0.7605 0.7605 0.7605  3 Ag 3.01, 3 I 3.30
Ag 0.5000 0.5000 0.5000  6 Pm 3.01
I 0.0000 0.0000 0.0000  6 Pm 3.30

***

b) Computed, not measured: a geometry-optimized Pm2AgI structure at the PBE level of DFT.

Cell: 3.6697 3.6697 8.4195 Å, 90.00 90.00 90.00°
With the nearest neighbours (Å) after each atom.
Fractional positions:
Pm 0.0000 0.0000 0.2289  4 Ag 3.23, 4 I 3.46
Pm 0.0000 0.0000 0.7711  4 Ag 3.23, 4 I 3.46
Ag 0.5000 0.5000 0.0000  8 Pm 3.23
I 0.5000 0.5000 0.5000  8 Pm 3.46, 4 I 3.67

***

c) Computed, not measured: a geometry-optimized Pm2AgI structure at the PBE level of DFT.

Cell: 8.4858 8.4858 8.4858 Å, 28.80 28.80 28.80°
With the nearest neighbours (Å) after each atom.
Fractional positions:
Pm 0.0000 0.0000 0.0000  3 Ag 2.99
Pm 0.1898 0.1898 0.1898  3 Ag 3.01, 3 I 3.37
Ag 0.5956 0.5956 0.5956  6 Pm 2.99-3.01
I 0.4276 0.4276 0.4276  6 Pm 3.35-3.37

***

a) is preferred energetically. Next in line: 9 meV/atom higher.

***

a) Computed, not measured: a geometry-optimized AgPtI2 structure at the PBE level of DFT.

Cell: 5.3856 6.5405 7.7548 Å, 76.36 75.82 89.28°
With the nearest neighbours (Å) after each atom.
Fractional positions:
Ag 0.0000 0.0000 0.0000  1 Pt 2.81, 2 I 2.82-2.87
Ag 0.2448 0.1483 0.5096  2 Pt 2.69-2.74, 2 I 2.73-2.78
Pt 0.7331 0.1496 0.5541  3 I 2.62-2.81, 1 Pt 2.66, 2 Ag 2.69-2.74
Pt 0.8647 0.8433 0.3820  1 Pt 2.66, 3 I 2.72-2.77, 1 Ag 2.81
I 0.3443 0.3325 0.7754  2 Ag 2.78-2.82, 1 Pt 2.81
I 0.3955 0.8732 0.2929  1 Ag 2.73, 2 Pt 2.77
I 0.7266 0.7998 0.8049  1 Pt 2.62, 1 Ag 2.87
I 0.9029 0.4731 0.2771  2 Pt 2.62-2.72

***

b) Computed, not measured: a geometry-optimized AgPtI2 structure at the PBE level of DFT.

Cell: 4.0524 4.6739 7.9516 Å, 77.22 89.60 64.38°
With the nearest neighbours (Å) after each atom.
Fractional positions:
Ag 0.0000 0.0000 0.0000  3 Pt 2.82-2.84, 3 I 3.00-3.05
Pt 0.3382 0.3206 0.1459  3 I 2.60-2.67, 3 Ag 2.82-2.84
I 0.2697 0.4678 0.7997  1 Pt 2.67
I 0.8399 0.3116 0.3524  2 Pt 2.60

***

c) Computed, not measured: a geometry-optimized AgPtI2 structure at the PBE level of DFT.

Cell: 5.1141 6.9532 8.4442 Å, 86.72 72.56 79.00°
With the nearest neighbours (Å) after each atom.
Fractional positions:
Ag 0.0000 0.0000 0.0000  3 Pt 2.80-2.97, 1 Ag 2.92, 2 I 2.96
Ag 0.3734 0.6247 0.9996  3 Pt 2.80-2.97, 1 Ag 2.92, 2 I 2.96
Pt 0.4345 0.9857 0.1459  3 I 2.59-2.73, 1 Pt 2.74, 2 Ag 2.80-2.83
Pt 0.7944 0.6387 0.1457  3 I 2.59-2.73, 1 Pt 2.74, 2 Ag 2.80-2.83
I 0.0514 0.3121 0.2721  2 Pt 2.73
I 0.4794 0.8119 0.4188  2 Pt 2.59
I 0.5636 0.0835 0.8284  1 Pt 2.64, 1 Ag 2.96
I 0.9798 0.5417 0.8279  1 Pt 2.64, 1 Ag 2.96

***

c) is preferred energetically. Next in line: 75 meV/atom higher.

***

a) Computed, not measured: a geometry-optimized AgPtI5 structure at the PBE level of DFT.

Cell: 7.5312 7.5312 10.5589 Å, 107.69 107.69 88.35°
With the nearest neighbours (Å) after each atom.
Fractional positions:
Ag 0.0429 0.9571 0.7500  5 I 2.87-2.98
Ag 0.9571 0.0429 0.2500  5 I 2.87-2.98
Pt 0.0000 0.5000 0.0000  6 I 2.66-2.87
Pt 0.5000 0.0000 0.5000  6 I 2.66-2.87
I 0.1594 0.6254 0.8446  1 Pt 2.69, 1 Ag 2.98
I 0.2316 0.7684 0.2500  2 Pt 2.87, 1 Ag 2.88
I 0.2367 0.2435 0.5054  1 Pt 2.66, 1 Ag 2.87
I 0.2435 0.2367 0.0054  1 Pt 2.66, 1 Ag 2.87
I 0.3746 0.8406 0.6554  1 Pt 2.69, 1 Ag 2.98
I 0.6254 0.1594 0.3446  1 Pt 2.69, 1 Ag 2.98
I 0.7565 0.7633 0.9946  1 Pt 2.66, 1 Ag 2.87
I 0.7633 0.7565 0.4946  1 Pt 2.66, 1 Ag 2.87
I 0.7684 0.2316 0.7500  2 Pt 2.87, 1 Ag 2.88
I 0.8406 0.3746 0.1554  1 Pt 2.69, 1 Ag 2.98

***

b) Computed, not measured: a geometry-optimized AgPtI5 structure at the PBE level of DFT.

Cell: 8.3366 8.3366 10.3163 Å, 104.09 104.09 51.73°
With the nearest neighbours (Å) after each atom.
Fractional positions:
Ag 0.0463 0.9537 0.7500  3 I 2.76-2.89
Ag 0.9537 0.0463 0.2500  3 I 2.76-2.89
Pt 0.5000 0.5000 0.0000  6 I 2.69-2.80
Pt 0.5000 0.5000 0.5000  6 I 2.69-2.80
I 0.0983 0.6918 0.5142  1 Pt 2.70, 1 Ag 2.76
I 0.1568 0.5306 0.8870  1 Pt 2.69
I 0.3082 0.9017 0.9858  1 Pt 2.70, 1 Ag 2.76
I 0.3509 0.6491 0.2500  2 Pt 2.80, 1 Ag 2.89
I 0.4694 0.8432 0.6130  1 Pt 2.69
I 0.5306 0.1568 0.3870  1 Pt 2.69
I 0.6491 0.3509 0.7500  2 Pt 2.80, 1 Ag 2.89
I 0.6918 0.0983 0.0142  1 Pt 2.70, 1 Ag 2.76
I 0.8432 0.4694 0.1130  1 Pt 2.69
I 0.9017 0.3082 0.4858  1 Pt 2.70, 1 Ag 2.76

***

a) is preferred energetically. Next in line: 25 meV/atom higher.

***

a) Computed, not measured: a geometry-optimized Rb2AgPtI6 structure at the PBE level of DFT.

Cell: 14.8830 14.8830 14.8830 Å, 31.31 31.31 31.31°
With the nearest neighbours (Å) after each atom.
Fractional positions:
Rb 0.1170 0.1170 0.1170  12 I 4.02-4.40
Rb 0.3014 0.3014 0.3014  9 I 3.82-4.03
Rb 0.6986 0.6986 0.6986  9 I 3.82-4.03
Rb 0.8830 0.8830 0.8830  12 I 4.02-4.40
Ag 0.4150 0.4150 0.4150  6 I 3.00-3.03
Ag 0.5850 0.5850 0.5850  6 I 3.00-3.03
Pt 0.0000 0.0000 0.0000  6 I 2.79
Pt 0.5000 0.5000 0.5000  6 I 2.77
I 0.1365 0.6253 0.6253  1 Pt 2.77, 1 Ag 3.03
I 0.2009 0.2009 0.7140  1 Pt 2.79, 1 Ag 3.00
I 0.2009 0.7140 0.2009  1 Pt 2.79, 1 Ag 3.00
I 0.2860 0.7991 0.7991  1 Pt 2.79, 1 Ag 3.00
I 0.3747 0.3747 0.8635  1 Pt 2.77, 1 Ag 3.03
I 0.3747 0.8635 0.3747  1 Pt 2.77, 1 Ag 3.03
I 0.6253 0.1365 0.6253  1 Pt 2.77, 1 Ag 3.03
I 0.6253 0.6253 0.1365  1 Pt 2.77, 1 Ag 3.03
I 0.7140 0.2009 0.2009  1 Pt 2.79, 1 Ag 3.00
I 0.7991 0.2860 0.7991  1 Pt 2.79, 1 Ag 3.00
I 0.7991 0.7991 0.2860  1 Pt 2.79, 1 Ag 3.00
I 0.8635 0.3747 0.3747  1 Pt 2.77, 1 Ag 3.03

***

b) Computed, not measured: a geometry-optimized Rb2AgPtI6 structure at the PBE level of DFT.

Cell: 8.1470 8.1470 8.1470 Å, 119.81 119.81 90.33°
With the nearest neighbours (Å) after each atom.
Fractional positions:
Rb 0.2500 0.7500 0.5000  12 I 4.08-4.09
Rb 0.7500 0.2500 0.5000  12 I 4.08-4.09
Ag 0.0000 0.0000 0.0000  6 I 2.96-3.01
Pt 0.5000 0.5000 0.0000  6 I 2.76-2.78
I 0.2578 0.2578 0.0000  1 Pt 2.78, 1 Ag 2.96
I 0.2609 0.2609 0.5217  1 Pt 2.76, 1 Ag 3.01
I 0.2609 0.7391 0.0000  1 Pt 2.76, 1 Ag 3.01
I 0.7391 0.2609 0.0000  1 Pt 2.76, 1 Ag 3.01
I 0.7391 0.7391 0.4783  1 Pt 2.76, 1 Ag 3.01
I 0.7422 0.7422 0.0000  1 Pt 2.78, 1 Ag 2.96

***

b) is preferred energetically. Next in line: 9 meV/atom higher.

***

a) Computed, not measured: a geometry-optimized AgSb2PtI structure at the PBE level of DFT.

Cell: 5.2394 5.2394 5.6955 Å, 90.00 90.00 90.00°
With the nearest neighbours (Å) after each atom.
Fractional positions:
Ag 0.0000 0.0000 0.0000  4 I 3.70, 8 Sb 3.87
Sb 0.0000 0.5000 0.5000  2 Pt 2.62
Sb 0.5000 0.0000 0.5000  2 Pt 2.62
Pt 0.5000 0.5000 0.5000  4 Sb 2.62, 2 I 2.85
I 0.5000 0.5000 0.0000  2 Pt 2.85

***

b) Computed, not measured: a geometry-optimized AgSb2PtI structure at the PBE level of DFT.

Cell: 5.3200 5.3200 5.3913 Å, 90.00 90.00 90.00°
With the nearest neighbours (Å) after each atom.
Fractional positions:
Ag 0.0000 0.0000 0.0000  4 Sb 2.66, 2 I 2.70
Sb 0.0000 0.5000 0.0000  2 Ag 2.66
Sb 0.5000 0.0000 0.0000  2 Ag 2.66
Pt 0.5000 0.5000 0.5000  4 I 3.76, 8 Sb 3.79
I 0.0000 0.0000 0.5000  2 Ag 2.70

***

a) is preferred energetically. Next in line: 569 meV/atom higher.